{
  "formula": "ReOsSe",
  "functional": "PBE",
  "state": "optimized geometry",
  "lattice": [[4.2152, 0.0000, 0.0000], [-2.1076, 3.6505, 0.0000], [0.0000, 0.0000, 2.9739]],
  "species": ["Re", "Os", "Se"],
  "fractional_positions": [[0.0000, 0.0000, 0.0000], [0.3333, 0.6667, 0.5191], [0.6667, 0.3333, 0.1819]],
  "mass_density_g_cm3": 16.53,
  "de_polymorph_ev_per_atom": 0.255,
  "formation_energy_uncorrected_ev_per_atom": 0.658,
  "e_tot_ev_per_atom": -8.396
}